[1]
Entry from Alexandria: a relaxed structure of RbReGeI2 (PBE).

Output
As for the formation energy from raw total energies: 1.6539 eV per atom. The polymorph energy (0 for the lowest one) comes out at 0.5899 eV/atom. As for the magnetic moment: 4.00 μB/cell. The crystal system is tetragonal. The value obtained for the total DFT energy (no corrections) is -2.573 eV/atom. The density of states at the Fermi level is 0.9529 states/eV/atom.

abc: 6.622 6.622 6.247
angles: 90.00 90.00 90.00
Space group P4/mmm (No. 123)
One atom of each set of equivalent atoms:
Rb: 0.000 0.000 0.000 x1
Re: 0.500 0.500 0.500 x1
Ge: 0.000 0.000 0.500 x1
I: 0.000 0.500 0.000 x2

[2]
Entry from Alexandria: a relaxed structure of Zn2CdPt8 (PBE).

Output
The value obtained for the calculated formation energy is -0.185 eV per atom. As for the magnetic moment: 0.00 μB/cell. The crystal system is orthorhombic. The value obtained for the total DFT energy (no corrections) is -4.893 eV/atom. The density of states at the Fermi level is 1.0053 states/eV/atom.

abc: 4.053 7.258 12.074
angles: 90.00 90.00 90.00
Space group Immm (No. 71)
One atom of each set of equivalent atoms:
Zn: 0.000 0.000 0.185 x4
Cd: 0.000 0.000 0.500 x2
Pt: 0.000 0.197 0.000 x4
Pt: 0.000 0.273 0.337 x8
Pt: 0.000 0.500 0.155 x4

[3]
Entry from Alexandria: a relaxed structure of SrLiTa (PBE).

Output
The value obtained for the calculated formation energy is 0.566 eV per atom. The polymorph energy (0 for the lowest one) comes out at 0.1934 eV/atom. As for the magnetic moment: 0.00 μB/cell. The crystal system is orthorhombic. The value obtained for the total DFT energy (no corrections) is -4.583 eV/atom. The density of states at the Fermi level is 0.6180 states/eV/atom.

abc: 7.969 3.441 11.746
angles: 90.00 90.00 90.00
Space group Pnma (No. 62)
One atom of each set of equivalent atoms:
Sr: 0.152 0.250 0.248 x4
Li: 0.128 0.250 0.952 x4
Ta: 0.097 0.250 0.549 x4

[4]
Entry from Alexandria: a relaxed structure of Ca3Si4Ni2 (PBE).

Output
As for the formation energy from raw total energies: -0.5568 eV per atom. The polymorph energy (0 for the lowest one) comes out at 0.0000 eV/atom. As for the magnetic moment: 0.00 μB/cell. The crystal system is monoclinic. The value obtained for the total DFT energy (no corrections) is -4.919 eV/atom. The density of states at the Fermi level is 0.2853 states/eV/atom.

abc: 11.314 3.826 8.347
angles: 90.00 96.74 90.00
Space group C2/m (No. 12)
One atom of each set of equivalent atoms:
Ca: 0.000 0.000 0.000 x2
Ca: 0.167 0.500 0.663 x4
Si: 0.055 0.000 0.386 x4
Si: 0.218 0.500 0.066 x4
Ni: 0.110 0.500 0.277 x4

[5]
Entry from Alexandria: a relaxed structure of TaNiHgOs2 (PBE).

Output
The value obtained for the calculated formation energy is 3.081 eV per atom. As for the magnetic moment: 1.29 μB/cell. The crystal system is tetragonal. The value obtained for the total DFT energy (no corrections) is -4.998 eV/atom. The density of states at the Fermi level is 0.9156 states/eV/atom.

abc: 4.870 4.870 4.924
angles: 90.00 90.00 90.00
Space group P4/mmm (No. 123)
One atom of each set of equivalent atoms:
Ta: 0.000 0.000 0.000 x1
Ni: 0.500 0.500 0.000 x1
Hg: 0.000 0.000 0.500 x1
Os: 0.000 0.500 0.500 x2

[6]
Entry from Alexandria: a relaxed structure of TaHgAs2 (PBE).

Output
The value obtained for the calculated formation energy is 0.321 eV per atom. As for the magnetic moment: 0.00 μB/cell. The crystal system is tetragonal. The value obtained for the total DFT energy (no corrections) is -5.042 eV/atom. The density of states at the Fermi level is 0.6745 states/eV/atom.

abc: 2.921 2.921 10.004
angles: 90.00 90.00 90.00
Space group P4mm (No. 99)
One atom of each set of equivalent atoms:
Ta: 0.000 0.000 0.000 x1
Hg: 0.500 0.500 0.776 x1
As: 0.000 0.000 0.543 x1
As: 0.500 0.500 0.198 x1

[7]
Entry from Alexandria: a relaxed structure of DyNp2PdS5 (PBE).

Output
As for the formation energy from raw total energies: -1.3552 eV per atom. As for the magnetic moment: 28.35 μB/cell. The crystal system is orthorhombic. The value obtained for the total DFT energy (no corrections) is -7.612 eV/atom. The density of states at the Fermi level is 1.8534 states/eV/atom.

abc: 3.791 16.293 11.778
angles: 90.00 90.00 90.00
Space group Cmc2_1 (No. 36)
One atom of each set of equivalent atoms:
Dy: 0.000 0.178 0.000 x4
Np: 0.000 0.107 0.325 x4
Np: 0.000 0.120 0.670 x4
Pd: 0.000 0.445 0.394 x4
S: 0.000 0.006 0.998 x4
S: 0.000 0.305 0.666 x4
S: 0.000 0.306 0.326 x4
S: 0.000 0.344 0.996 x4
S: 0.000 0.495 0.714 x4

[8]
Entry from Alexandria: a relaxed structure of Ti2CuSi2 (PBE).

Output
As for the formation energy from raw total energies: -0.5696 eV per atom. The polymorph energy (0 for the lowest one) comes out at 0.0297 eV/atom. As for the magnetic moment: 0.00 μB/cell. The crystal system is tetragonal. The value obtained for the total DFT energy (no corrections) is -6.716 eV/atom. The density of states at the Fermi level is 0.3581 states/eV/atom.

abc: 6.216 6.216 3.729
angles: 90.00 90.00 90.00
Space group P4/mbm (No. 127)
One atom of each set of equivalent atoms:
Ti: 0.173 0.327 0.000 x4
Cu: 0.000 0.000 0.500 x2
Si: 0.132 0.632 0.500 x4